(1)
# Si4PbBr

A relaxed Si4PbBr crystal (PBE, the Alexandria database).

## Properties
The calculation puts the uncorrected formation energy at 3.06 eV/f.u.

Unit cell a=5.5169 b=5.5169 c=5.5169 alpha=60.00 beta=60.00 gamma=60.00
With the nearest neighbours (Å) after each atom.
Sites, in units of the cell vectors:
Si  0.1225  0.1225  0.1225  6 Si 2.70-2.81
Si  0.1225  0.1225  0.6326  6 Si 2.70-2.81
Si  0.1225  0.6326  0.1225  6 Si 2.70-2.81
Si  0.6326  0.1225  0.1225  6 Si 2.70-2.81
Pb  0.5000  0.5000  0.5000  12 Si 3.24, 4 Br 3.38
Br  0.7500  0.7500  0.7500  12 Si 3.23, 4 Pb 3.38



(2)
# La4InTe3

A relaxed La4InTe3 crystal (PBE, the Alexandria database).

## Properties
The calculation puts the uncorrected formation energy at -10.59 eV/f.u.

Unit cell a=7.9719 b=7.9719 c=7.9719 alpha=131.86 beta=131.86 gamma=70.45
With the nearest neighbours (Å) after each atom.
Sites, in units of the cell vectors:
La  0.0000  0.5000  0.5000  2 In 3.25, 4 Te 3.25-3.26
La  0.2498  0.2498  0.0000  5 Te 3.25-3.26, 1 In 3.25
La  0.5000  0.0000  0.5000  2 In 3.25, 4 Te 3.25-3.26
La  0.7502  0.7502  0.0000  5 Te 3.25-3.26, 1 In 3.25
In  0.0000  0.0000  0.0000  6 La 3.25
Te  0.2500  0.7500  0.5000  6 La 3.25-3.26
Te  0.5000  0.5000  0.0000  6 La 3.25-3.26
Te  0.7500  0.2500  0.5000  6 La 3.25-3.26



(3)
# Rb2AgGeSe4

A relaxed Rb2AgGeSe4 crystal (PBE, the Alexandria database).

## Properties
The calculation puts the uncorrected formation energy at -4.77 eV/f.u.

Unit cell a=6.8910 b=6.8910 c=6.8910 alpha=105.71 beta=105.71 gamma=117.28
With the nearest neighbours (Å) after each atom.
Sites, in units of the cell vectors:
Rb  0.0000  0.5000  0.5000  8 Se 3.52-3.74, 2 Rb 3.59
Rb  0.5000  0.0000  0.5000  8 Se 3.52-3.74, 2 Rb 3.59
Ag  0.0000  0.0000  0.0000  4 Se 2.71
Ge  0.5000  0.5000  0.0000  4 Se 2.40
Se  0.1267  0.1267  0.6920  1 Ge 2.40
Se  0.4347  0.4347  0.3080  1 Ge 2.40
Se  0.5653  0.8733  0.0000  1 Ge 2.40
Se  0.8733  0.5653  0.0000  1 Ge 2.40



(4)
# Pm2ErAlO

A relaxed Pm2ErAlO crystal (PBE, the Alexandria database).

## Properties
The calculation puts the uncorrected formation energy at -6.72 eV/f.u.

Unit cell a=4.9170 b=4.9170 c=4.6374 alpha=90.00 beta=90.00 gamma=90.00
With the nearest neighbours (Å) after each atom.
Sites, in units of the cell vectors:
Pm  0.0000  0.5000  0.0000  2 O 2.46
Pm  0.5000  0.0000  0.0000  2 O 2.46
Er  0.0000  0.0000  0.5000  2 O 2.32
Al  0.5000  0.5000  0.5000  8 Pm 3.38, 4 Er 3.48
O  0.0000  0.0000  0.0000  2 Er 2.32, 4 Pm 2.46



(5)
# Tb3Dy3Y

A relaxed Tb3Dy3Y crystal (PBE, the Alexandria database).

## Properties
The calculation puts the energy above the most stable polymorph in this dataset at 132.8 meV per atom. The energy relative to the elements is 0.143 eV/atom.

Unit cell a=14.6541 b=14.6541 c=14.6541 alpha=24.31 beta=24.31 gamma=24.31
With the nearest neighbours (Å) after each atom.
Sites, in units of the cell vectors:
Tb  0.1327  0.4640  0.8013  3 Dy 3.49-3.50, 9 Tb 3.54-3.57
Tb  0.1987  0.8673  0.5360  3 Dy 3.49-3.50, 9 Tb 3.54-3.57
Tb  0.4640  0.8013  0.1327  3 Dy 3.49-3.50, 9 Tb 3.54-3.57
Tb  0.5360  0.1987  0.8673  3 Dy 3.49-3.50, 9 Tb 3.54-3.57
Tb  0.8013  0.1327  0.4640  3 Dy 3.49-3.50, 9 Tb 3.54-3.57
Tb  0.8673  0.5360  0.1987  3 Dy 3.49-3.50, 9 Tb 3.54-3.57
Dy  0.0664  0.7326  0.4006  3 Tb 3.49-3.50, 2 Y 3.50, 6 Dy 3.56-3.57
Dy  0.2674  0.5994  0.9336  3 Tb 3.49-3.50, 2 Y 3.50, 6 Dy 3.56-3.57
Dy  0.4006  0.0664  0.7326  3 Tb 3.49-3.50, 2 Y 3.50, 6 Dy 3.56-3.57
Dy  0.5994  0.9336  0.2674  3 Tb 3.49-3.50, 2 Y 3.50, 6 Dy 3.56-3.57
Dy  0.7326  0.4006  0.0664  3 Tb 3.49-3.50, 2 Y 3.50, 6 Dy 3.56-3.57
Dy  0.9336  0.2674  0.5994  3 Tb 3.49-3.50, 2 Y 3.50, 6 Dy 3.56-3.57
Y  0.3333  0.3333  0.3333  6 Dy 3.50, 3 Y 3.56
Y  0.6667  0.6667  0.6667  6 Dy 3.50, 3 Y 3.56



(6)
# Dy4In2Hg5

A relaxed Dy4In2Hg5 crystal (PBE, the Alexandria database).

## Properties
The energy relative to the elements is -0.366 eV/atom.

Unit cell a=8.0401 b=3.5625 c=9.9819 alpha=90.00 beta=96.86 gamma=90.00
With the nearest neighbours (Å) after each atom.
Sites, in units of the cell vectors:
Dy  0.1866  0.0000  0.3951  6 Hg 3.16-3.30, 2 In 3.18
Dy  0.2733  0.0000  0.9265  6 Hg 3.18-3.35, 4 In 3.30-3.31, 2 Dy 3.56
Dy  0.7267  0.0000  0.0735  6 Hg 3.18-3.35, 4 In 3.30-3.31, 2 Dy 3.56
Dy  0.8134  0.0000  0.6049  6 Hg 3.16-3.30, 2 In 3.18
In  0.0749  0.5000  0.1361  1 In 2.84, 2 Hg 2.99-3.00
In  0.9251  0.5000  0.8639  1 In 2.84, 2 Hg 2.99-3.00
Hg  0.1613  0.5000  0.6529  1 In 3.00, 6 Dy 3.16-3.30, 2 Hg 3.28-3.33
Hg  0.4493  0.5000  0.1907  1 In 2.99, 2 Hg 3.07-3.33, 4 Dy 3.18-3.35
Hg  0.5000  0.5000  0.5000  4 Hg 3.07-3.28, 4 Dy 3.16
Hg  0.5507  0.5000  0.8093  1 In 2.99, 2 Hg 3.07-3.33, 4 Dy 3.18-3.35
Hg  0.8387  0.5000  0.3471  1 In 3.00, 6 Dy 3.16-3.30, 2 Hg 3.28-3.33



(7)
# SrRh3C

A relaxed SrRh3C crystal (PBE, the Alexandria database).

## Properties
The energy relative to the elements is -0.072 eV/atom.

Unit cell a=4.2498 b=4.2498 c=4.2498 alpha=90.00 beta=90.00 gamma=90.00
With the nearest neighbours (Å) after each atom.
Sites, in units of the cell vectors:
Sr  0.0000  0.0000  0.0000  12 Rh 3.01
Rh  0.0000  0.5000  0.5000  2 C 2.12
Rh  0.5000  0.0000  0.5000  2 C 2.12
Rh  0.5000  0.5000  0.0000  2 C 2.12
C  0.5000  0.5000  0.5000  6 Rh 2.12



(8)
# MnNbRh

A relaxed MnNbRh crystal (PBE, the Alexandria database).

## Properties
The energy relative to the elements is -0.062 eV/atom.

Unit cell a=6.1524 b=6.1524 c=6.1524 alpha=154.40 beta=154.40 gamma=36.53
With the nearest neighbours (Å) after each atom.
Sites, in units of the cell vectors:
Mn  0.0000  0.0000  0.0000  4 Rh 2.52, 4 Mn 2.73, 4 Nb 2.80
Nb  0.6740  0.6740  0.0000  4 Nb 2.73, 4 Mn 2.80, 4 Rh 2.92
Rh  0.3613  0.3613  0.0000  4 Mn 2.52, 4 Rh 2.73



(9)
# Ce3SmTh2

A relaxed Ce3SmTh2 crystal (PBE, the Alexandria database).

## Properties
The energy relative to the elements is 0.107 eV/atom.

Unit cell a=6.5769 b=6.6840 c=9.4399 alpha=95.96 beta=94.30 gamma=118.42
With the nearest neighbours (Å) after each atom.
Sites, in units of the cell vectors:
Ce  0.0785  0.2984  0.2435  1 Ce 2.81
Ce  0.2549  0.0430  0.0930  1 Ce 2.81
Ce  0.4039  0.6258  0.5773  1 Ce 2.89
Ce  0.5961  0.3742  0.4227  1 Ce 2.89
Ce  0.7451  0.9570  0.9070  1 Ce 2.81
Ce  0.9215  0.7016  0.7565  1 Ce 2.81
Sm  0.4302  0.1647  0.7512  6 Ce 3.31-3.71, 5 Th 3.37-3.69
Sm  0.5698  0.8353  0.2488  6 Ce 3.31-3.71, 5 Th 3.37-3.69
Th  0.0951  0.8351  0.4150  5 Ce 3.27-3.56, 2 Th 3.35-3.50, 2 Sm 3.56-3.60
Th  0.2332  0.4986  0.9136  6 Ce 3.29-3.69, 2 Sm 3.37-3.56, 2 Th 3.50-3.59
Th  0.7668  0.5014  0.0864  6 Ce 3.29-3.69, 2 Sm 3.37-3.56, 2 Th 3.50-3.59
Th  0.9049  0.1649  0.5850  5 Ce 3.27-3.56, 2 Th 3.35-3.50, 2 Sm 3.56-3.60



(10)
# CaGa3Pd3

A relaxed CaGa3Pd3 crystal (PBE, the Alexandria database).

## Properties
The calculation puts the energy above the most stable polymorph in this dataset at 0.0 meV per atom. The energy relative to the elements is -0.635 eV/atom.

Unit cell a=7.8446 b=7.8446 c=7.8446 alpha=90.00 beta=90.00 gamma=90.00
With the nearest neighbours (Å) after each atom.
Sites, in units of the cell vectors:
Ca  0.0565  0.4435  0.5565  6 Ga 2.91-3.02, 4 Pd 2.93-3.10
Ca  0.4435  0.5565  0.0565  6 Ga 2.91-3.02, 4 Pd 2.93-3.10
Ca  0.5565  0.0565  0.4435  6 Ga 2.91-3.02, 4 Pd 2.93-3.10
Ca  0.9435  0.9435  0.9435  6 Ga 2.91-3.02, 4 Pd 2.93-3.10
Ga  0.0014  0.3092  0.9129  6 Pd 2.63-2.89, 2 Ga 2.73, 1 Ca 2.91
Ga  0.0871  0.5014  0.1908  6 Pd 2.63-2.89, 2 Ga 2.73, 1 Ca 2.91
Ga  0.1908  0.0871  0.5014  6 Pd 2.63-2.89, 2 Ga 2.73, 1 Ca 2.91
Ga  0.3092  0.9129  0.0014  6 Pd 2.63-2.89, 2 Ga 2.73, 1 Ca 2.91
Ga  0.4129  0.4986  0.6908  6 Pd 2.63-2.89, 2 Ga 2.73, 1 Ca 2.91
Ga  0.4986  0.6908  0.4129  6 Pd 2.63-2.89, 2 Ga 2.73, 1 Ca 2.91
Ga  0.5014  0.1908  0.0871  6 Pd 2.63-2.89, 2 Ga 2.73, 1 Ca 2.91
Ga  0.5871  0.9986  0.8092  6 Pd 2.63-2.89, 2 Ga 2.73, 1 Ca 2.91
Ga  0.6908  0.4129  0.4986  6 Pd 2.63-2.89, 2 Ga 2.73, 1 Ca 2.91
Ga  0.8092  0.5871  0.9986  6 Pd 2.63-2.89, 2 Ga 2.73, 1 Ca 2.91
Ga  0.9129  0.0014  0.3092  6 Pd 2.63-2.89, 2 Ga 2.73, 1 Ca 2.91
Ga  0.9986  0.8092  0.5871  6 Pd 2.63-2.89, 2 Ga 2.73, 1 Ca 2.91
Pd  0.1205  0.6205  0.8795  6 Ga 2.63-2.89, 1 Pd 2.83, 3 Ca 2.93
Pd  0.1715  0.1715  0.1715  6 Ga 2.66-2.68, 1 Pd 2.83
Pd  0.2028  0.7972  0.2972  6 Ga 2.63-2.78
Pd  0.2972  0.2028  0.7972  6 Ga 2.63-2.78
Pd  0.3285  0.8285  0.6715  6 Ga 2.66-2.68, 1 Pd 2.83
Pd  0.3795  0.3795  0.3795  6 Ga 2.63-2.89, 1 Pd 2.83, 3 Ca 2.93
Pd  0.6205  0.8795  0.1205  6 Ga 2.63-2.89, 1 Pd 2.83, 3 Ca 2.93
Pd  0.6715  0.3285  0.8285  6 Ga 2.66-2.68, 1 Pd 2.83
Pd  0.7028  0.7028  0.7028  6 Ga 2.63-2.78
Pd  0.7972  0.2972  0.2028  6 Ga 2.63-2.78
Pd  0.8285  0.6715  0.3285  6 Ga 2.66-2.68, 1 Pd 2.83
Pd  0.8795  0.1205  0.6205  6 Ga 2.63-2.89, 1 Pd 2.83, 3 Ca 2.93



(11)
# LaLuMgCu

A relaxed LaLuMgCu crystal (PBE, the Alexandria database).

## Properties
The energy relative to the elements is -0.040 eV/atom.

Unit cell a=5.2208 b=5.2208 c=5.2208 alpha=60.00 beta=60.00 gamma=60.00
With the nearest neighbours (Å) after each atom.
Sites, in units of the cell vectors:
La  0.0000  0.0000  0.0000  4 Mg 3.20, 4 Cu 3.20
Lu  0.5000  0.5000  0.5000  4 Mg 3.20, 4 Cu 3.20
Mg  0.2500  0.2500  0.2500  4 La 3.20, 4 Lu 3.20
Cu  0.7500  0.7500  0.7500  4 La 3.20, 4 Lu 3.20



(12)
# NaTa2PtO8

A relaxed NaTa2PtO8 crystal (PBE, the Alexandria database).

## Properties
The calculation puts the uncorrected formation energy at -23.06 eV/f.u.

Unit cell a=4.7728 b=4.7728 c=6.3755 alpha=90.00 beta=90.00 gamma=91.36
With the nearest neighbours (Å) after each atom.
Sites, in units of the cell vectors:
Na  0.0000  0.0000  0.0000  6 O 2.18-2.30
Ta  0.5000  0.5000  0.2401  4 O 1.93-1.97
Ta  0.5000  0.5000  0.7599  4 O 1.93-1.97
Pt  0.0000  0.0000  0.5000  6 O 1.98-2.02
O  0.2134  0.2134  0.2836  1 Ta 1.93, 1 Pt 1.98
O  0.2134  0.2134  0.7164  1 Ta 1.93, 1 Pt 1.98
O  0.2960  0.7040  0.5000  1 Pt 2.02, 2 Ta 2.16
O  0.3194  0.6806  0.0000  2 Ta 1.97, 1 Na 2.18
O  0.6806  0.3194  0.0000  2 Ta 1.97, 1 Na 2.18
O  0.7040  0.2960  0.5000  1 Pt 2.02, 2 Ta 2.16
O  0.7866  0.7866  0.2836  1 Ta 1.93, 1 Pt 1.98
O  0.7866  0.7866  0.7164  1 Ta 1.93, 1 Pt 1.98